Ac2BeTeO6, optimized geometry, DFT GGA-PBE; V = 14.31 A^3/atom; raw total energy = -6.8358 eV/atom
1.0
5.765 0.000 0.000
2.883 4.993 0.000
2.883 1.664 9.946
Te Ac Be O
2 4 2 12
Direct
0.000 0.000 0.000
0.500 0.500 0.500
0.269 0.269 0.194
0.133 0.133 0.602
0.867 0.867 0.398
0.731 0.731 0.806
0.618 0.618 0.146
0.382 0.382 0.854
0.780 0.780 0.136
0.780 0.304 0.136
0.644 0.644 0.614
0.901 0.356 0.386
0.696 0.220 0.864
0.356 0.356 0.386
0.099 0.644 0.614
0.304 0.780 0.136
0.356 0.901 0.386
0.644 0.099 0.614
0.220 0.220 0.864
0.220 0.696 0.864

***

Zr2TiRe2, optimized geometry, DFT GGA-PBE; energy of formation from the pure elements = 0.46 eV per atom; V = 20.68 A^3/atom; DOS(E_F) = 5.25 states/eV/cell; raw total energy = -9.5153 eV/atom
1.0
-1.329 2.249 2.361
1.063 -2.112 2.610
7.166 4.089 2.765
Zr Ti Re
2 1 2
Direct
0.606 0.606 0.788
0.394 0.394 0.212
0.000 0.000 0.000
0.250 0.750 0.500
0.750 0.250 0.500

***

SbP2Rh, optimized geometry, DFT GGA-PBE; V = 22.41 A^3/atom; DOS(E_F) = 3.06 states/eV/cell; raw total energy = -5.6586 eV/atom
1.0
-2.242 3.832 3.539
-1.155 -4.121 3.731
3.284 0.594 5.992
Rh Sb P
2 2 4
Direct
0.500 0.500 0.000
0.250 0.750 0.500
0.750 0.250 0.500
0.000 0.000 0.000
0.375 0.431 0.750
0.569 0.125 0.250
0.875 0.819 0.750
0.181 0.625 0.250

***

BaSi2Te, optimized geometry, DFT GGA-PBE; V = 27.45 A^3/atom; DOS(E_F) = 2.41 states/eV/cell; raw total energy = -3.8738 eV/atom
1.0
-5.814 1.285 -1.274
-3.044 -4.892 -1.969
3.138 2.161 4.750
Te Si Ba
1 2 1
Direct
0.750 0.250 0.500
0.966 0.966 0.000
0.534 0.534 0.000
0.250 0.750 0.500

***

For each record above, in turn, the calculated density values are 8.0; 9.7; 5.3; 4.9 Mg/m³.